No. 1
# Cs2VHgF6 | Alexandria | PBE with a Hubbard U | optimized geometry
# - E (Ry/atom) = -0.33466
# - size of the total moment (μB per formula unit) = 1.0
# - DOS(E_F) (states/eV per cell) = 2.27
data_Cs2VHgF6
_chemical_formula_sum 'Cs4 V2 Hg2 F12'
_space_group_name_H-M_alt 'I 4/m m m'
_space_group_IT_number 139
_space_group_name_Hall '-I 4 2'
_cell_length_a 6.896
_cell_length_b 6.896
_cell_length_c 9.828
_cell_angle_alpha 90.00
_cell_angle_beta 90.00
_cell_angle_gamma 90.00
loop_
_atom_site_label
_atom_site_fract_x
_atom_site_fract_y
_atom_site_fract_z
_atom_site_occupancy
Cs1 0.000 0.500 0.250 1
V1 0.000 0.000 0.000 1
Hg1 0.000 0.000 0.500 1
F1 0.000 0.000 0.193 1
F2 0.192 0.192 0.000 1



No. 2
# CsVHg2F | Alexandria | PBE with a Hubbard U | optimized geometry
# - E (Ry/atom) = -0.16302
# - size of the total moment (μB per formula unit) = 4.6
# - DOS(E_F) (states/eV per cell) = 2.03
data_CsVHg2F
_chemical_formula_sum 'Cs1 V1 Hg2 F1'
_space_group_name_H-M_alt 'P 4/m m m'
_space_group_IT_number 123
_space_group_name_Hall '-P 4 2'
_cell_length_a 5.881
_cell_length_b 5.881
_cell_length_c 5.248
_cell_angle_alpha 90.00
_cell_angle_beta 90.00
_cell_angle_gamma 90.00
loop_
_atom_site_label
_atom_site_fract_x
_atom_site_fract_y
_atom_site_fract_z
_atom_site_occupancy
Cs1 0.000 0.000 0.000 1
V1 0.500 0.500 0.000 1
Hg1 0.000 0.500 0.500 1
F1 0.000 0.000 0.500 1



No. 3
# CsVHgF6 | Alexandria | PBE with a Hubbard U | optimized geometry
# - E (Ry/atom) = -0.33623
# - size of the total moment (μB per formula unit) = 0.0
data_CsVHgF6
_chemical_formula_sum 'Cs1 V1 Hg1 F6'
_space_group_name_H-M_alt 'P 1'
_space_group_IT_number 1
_space_group_name_Hall 'P 1'
_cell_length_a 5.185
_cell_length_b 6.326
_cell_length_c 6.485
_cell_angle_alpha 61.37
_cell_angle_beta 88.94
_cell_angle_gamma 89.31
loop_
_atom_site_label
_atom_site_fract_x
_atom_site_fract_y
_atom_site_fract_z
_atom_site_occupancy
Cs1 0.000 0.000 0.000 1
V1 0.651 0.667 0.662 1
Hg1 0.355 0.336 0.325 1
F1 0.450 0.810 0.796 1
F2 0.452 0.397 0.796 1
F3 0.456 0.799 0.398 1
F4 0.852 0.538 0.924 1
F5 0.856 0.934 0.531 1
F6 0.857 0.526 0.532 1